# 1
VASP calculation (PBE) on a relaxed structure of KIn3Au.

Output
As for the energy above the lowest structure with this stoichiometry: 0.00 kcal/mol of atoms. As for the energy relative to the elements: -219 meV/atom. The calculation puts the size of the total moment at 0.000 μB per atom.

a = 6.7400 Å, b = 6.7963 Å, c = 12.4674 Å
α = 90.00°, β = 90.00°, γ = 90.00°
Last column: nearest neighbours and their distance in Å.
Space group Fmm2 (No. 42)
Asymmetric unit:
1 K 0.0000 0.0000 0.0000 (multiplicity 4)  12 In 3.63-4.05, 4 Au 3.65-3.68
2 In 0.0000 0.0000 0.3923 (multiplicity 4)  1 Au 2.76, 4 In 3.07
3 In 0.2500 0.2500 0.2379 (multiplicity 8)  2 Au 2.85, 2 In 3.07
4 Au 0.0000 0.0000 0.6134 (multiplicity 4)  5 In 2.76-2.85

***

# 2
VASP calculation (PBE) on a relaxed structure of ZrBr2.

Output
The calculation puts the raw formation energy at -3.2 eV/f.u. The calculation puts the size of the total moment at 0.000 μB per atom.

a = 15.9443 Å, b = 3.4823 Å, c = 6.9596 Å
α = 90.00°, β = 105.54°, γ = 90.00°
Last column: nearest neighbours and their distance in Å.
Space group Cm (No. 8)
Asymmetric unit:
1 Zr 0.0000 0.0000 0.0000 (multiplicity 2)  6 Br 2.78-2.93, 2 Zr 3.09
2 Zr 0.0483 0.5000 0.3806 (multiplicity 2)  5 Br 2.73-2.84
3 Br 0.1425 0.5000 0.0930 (multiplicity 2)  3 Zr 2.80-2.81
4 Br 0.1687 0.0000 0.5968 (multiplicity 2)  2 Zr 2.73
5 Br 0.3824 0.0000 0.1000 (multiplicity 2)  3 Zr 2.78-2.84
6 Br 0.4482 0.0000 0.6503 (multiplicity 2)  3 Zr 2.77-2.93

***

# 3
VASP calculation (PBE) on a relaxed structure of LiTmSbIr.

Output
The calculation puts the raw formation energy at -3.0 eV/f.u. The calculation puts the size of the total moment at 0.000 μB per atom.

a = 6.6109 Å, b = 6.6109 Å, c = 6.6109 Å
α = 90.00°, β = 90.00°, γ = 90.00°
Last column: nearest neighbours and their distance in Å.
Space group F-43m (No. 216)
Asymmetric unit:
1 Li 0.0000 0.0000 0.0000 (multiplicity 4)  4 Sb 2.86, 4 Tm 2.86
2 Tm 0.2500 0.2500 0.2500 (multiplicity 4)  4 Li 2.86, 4 Ir 2.86
3 Sb 0.2500 0.2500 0.7500 (multiplicity 4)  4 Ir 2.86, 4 Li 2.86
4 Ir 0.0000 0.0000 0.5000 (multiplicity 4)  4 Tm 2.86, 4 Sb 2.86

***

# 4
VASP calculation (PBE) on a relaxed structure of LiCuSnIr.

Output
As for the energy relative to the elements: -263 meV/atom. The calculation puts the size of the total moment at 0.000 μB per atom.

a = 6.2380 Å, b = 6.2380 Å, c = 6.2380 Å
α = 90.00°, β = 90.00°, γ = 90.00°
Last column: nearest neighbours and their distance in Å.
Space group F-43m (No. 216)
Asymmetric unit:
1 Li 0.0000 0.0000 0.0000 (multiplicity 4)  4 Cu 2.70, 4 Sn 2.70
2 Cu 0.2500 0.2500 0.2500 (multiplicity 4)  4 Ir 2.70, 4 Li 2.70
3 Sn 0.2500 0.2500 0.7500 (multiplicity 4)  4 Li 2.70, 4 Ir 2.70
4 Ir 0.0000 0.0000 0.5000 (multiplicity 4)  4 Sn 2.70, 4 Cu 2.70